Entry from Alexandria: crystalline ZrUAg at its relaxed geometry (GGA-PBE).

Output
DOS at the Fermi energy, states/eV/f.u.: 4.6
Energy of formation, kJ/mol of atoms: 16.1
Electronic total energy, eV/atom: -7.40
Space-group type: No. 139
Density, g/cm3: 10.8
Total magnetic moment, μB per cell: 1.33

Cell: 3.366 3.366 12.126 Å, 97.98 97.98 90.00°
Positions (direct):
U1 0.722 0.722 0.444
Ag1 0.557 0.557 0.114
U2 0.278 0.278 0.556
Zr1 0.133 0.133 0.266
Zr2 0.867 0.867 0.734
Ag2 0.443 0.443 0.886

=====

Entry from Alexandria: crystalline V3Ag at its relaxed geometry (GGA-PBE).

Output
DOS at the Fermi energy, states/eV/f.u.: 5.9
Energy of formation, kJ/mol of atoms: 36.2
Electronic total energy, eV/atom: -7.18
Space-group type: No. 139
Density, g/cm3: 7.4
Total magnetic moment, μB per cell: 0.46

Cell: 4.792 4.792 4.792 Å, 132.54 132.54 69.37°
Positions (direct):
V1 0.250 0.750 0.500
Ag1 0.000 0.000 0.000
V2 0.750 0.250 0.500
V3 0.500 0.500 0.000

=====

Entry from Alexandria: crystalline V4Ag at its relaxed geometry (GGA-PBE).

Output
DOS at the Fermi energy, states/eV/f.u.: 9.3
Energy of formation, kJ/mol of atoms: 190.3
Electronic total energy, eV/atom: -5.89
Space-group type: No. 221
Density, g/cm3: 4.6
Total magnetic moment, μB per cell: 11.44

Cell: 4.826 4.826 4.826 Å, 90.00 90.00 90.00°
Positions (direct):
V1 0.000 0.500 0.500
V2 0.500 0.000 0.500
V3 0.500 0.500 0.000
Ag1 0.500 0.500 0.500
V4 0.000 0.000 0.000

=====

Entry from Alexandria: crystalline V3Ag at its relaxed geometry (GGA-PBE).

Output
DOS at the Fermi energy, states/eV/f.u.: 6.2
Energy of formation, kJ/mol of atoms: 36.0
Electronic total energy, eV/atom: -7.18
Space-group type: No. 221
Density, g/cm3: 7.4
Total magnetic moment, μB per cell: 0.01

Cell: 3.879 3.879 3.879 Å, 90.00 90.00 90.00°
Positions (direct):
V1 0.500 0.000 0.500
V2 0.000 0.500 0.500
Ag1 0.000 0.000 0.000
V3 0.500 0.500 0.000

=====

Entry from Alexandria: crystalline V2AgW at its relaxed geometry (GGA-PBE).

Output
DOS at the Fermi energy, states/eV/f.u.: 5.6
Energy of formation, kJ/mol of atoms: 35.6
Electronic total energy, eV/atom: -8.14
Space-group type: No. 225
Density, g/cm3: 10.8
Total magnetic moment, μB per cell: 0.00

Cell: 4.409 4.409 4.409 Å, 60.00 60.00 60.00°
Positions (direct):
W1 0.500 0.500 0.500
V1 0.250 0.250 0.250
Ag1 0.000 0.000 0.000
V2 0.750 0.750 0.750

=====

Entry from Alexandria: crystalline VAg3W at its relaxed geometry (GGA-PBE).

Output
DOS at the Fermi energy, states/eV/f.u.: 11.7
Energy of formation, kJ/mol of atoms: 190.7
Electronic total energy, eV/atom: -4.15
Space-group type: No. 221
Density, g/cm3: 7.3
Total magnetic moment, μB per cell: 3.30

Cell: 5.029 5.029 5.029 Å, 90.00 90.00 90.00°
Positions (direct):
Ag1 0.500 0.000 0.000
V1 0.500 0.500 0.500
W1 0.000 0.000 0.000
Ag2 0.000 0.000 0.500
Ag3 0.000 0.500 0.000

=====

Entry from Alexandria: crystalline VAgW2 at its relaxed geometry (GGA-PBE).

Output
DOS at the Fermi energy, states/eV/f.u.: 3.8
Energy of formation, kJ/mol of atoms: 96.8
Electronic total energy, eV/atom: -8.47
Space-group type: No. 122
Density, g/cm3: 12.6
Total magnetic moment, μB per cell: 2.22

Cell: 3.790 3.790 10.018 Å, 79.10 79.10 90.00°
Positions (direct):
V1 0.500 0.500 0.000
W1 0.875 0.858 0.750
W2 0.375 0.392 0.750
W3 0.142 0.625 0.250
V2 0.250 0.750 0.500
Ag1 0.000 0.000 0.000
Ag2 0.750 0.250 0.500
W4 0.608 0.125 0.250

=====

Entry from Alexandria: crystalline V2AgW2 at its relaxed geometry (GGA-PBE).

Output
DOS at the Fermi energy, states/eV/f.u.: 6.1
Energy of formation, kJ/mol of atoms: 96.5
Electronic total energy, eV/atom: -8.40
Space-group type: No. 139
Density, g/cm3: 11.3
Total magnetic moment, μB per cell: 0.00

Cell: 3.631 3.631 6.942 Å, 74.84 74.84 90.00°
Positions (direct):
W1 0.393 0.393 0.214
V1 0.750 0.250 0.500
W2 0.607 0.607 0.786
Ag1 0.000 0.000 0.000
V2 0.250 0.750 0.500

=====

Entry from Alexandria: crystalline V2AgW2 at its relaxed geometry (GGA-PBE).

Output
DOS at the Fermi energy, states/eV/f.u.: 4.7
Energy of formation, kJ/mol of atoms: 55.5
Electronic total energy, eV/atom: -8.82
Space-group type: No. 127
Density, g/cm3: 11.7
Total magnetic moment, μB per cell: 0.00

Cell: 7.468 7.468 2.939 Å, 90.00 90.00 90.00°
Positions (direct):
V1 0.809 0.309 0.500
W1 0.617 0.117 0.000
V2 0.191 0.691 0.500
V3 0.309 0.191 0.500
W2 0.883 0.617 0.000
V4 0.691 0.809 0.500
Ag1 0.000 0.000 0.000
W3 0.117 0.383 0.000
Ag2 0.500 0.500 0.000
W4 0.383 0.883 0.000

=====

Entry from Alexandria: crystalline VAgW2 at its relaxed geometry (GGA-PBE).

Output
DOS at the Fermi energy, states/eV/f.u.: 3.4
Energy of formation, kJ/mol of atoms: 66.2
Electronic total energy, eV/atom: -8.78
Space-group type: No. 225
Density, g/cm3: 13.8
Total magnetic moment, μB per cell: 0.00

Cell: 4.472 4.472 4.472 Å, 60.00 60.00 60.00°
Positions (direct):
Ag1 0.500 0.500 0.500
W1 0.750 0.750 0.750
W2 0.250 0.250 0.250
V1 0.000 0.000 0.000

=====

Entry from Alexandria: crystalline VAg2W at its relaxed geometry (GGA-PBE).

Output
DOS at the Fermi energy, states/eV/f.u.: 2.4
Energy of formation, kJ/mol of atoms: 109.7
Electronic total energy, eV/atom: -5.81
Space-group type: No. 122
Density, g/cm3: 10.6
Total magnetic moment, μB per cell: 1.62

Cell: 7.395 7.395 5.832 Å, 50.66 50.66 90.00°
Positions (direct):
Ag1 0.134 0.625 0.250
V1 0.500 0.500 0.000
Ag2 0.375 0.384 0.750
W1 0.000 0.000 0.000
Ag3 0.616 0.125 0.250
Ag4 0.875 0.866 0.750
W2 0.750 0.250 0.500
V2 0.250 0.750 0.500

=====

Entry from Alexandria: crystalline V2AgW at its relaxed geometry (GGA-PBE).

Output
DOS at the Fermi energy, states/eV/f.u.: 5.3
Energy of formation, kJ/mol of atoms: 88.7
Electronic total energy, eV/atom: -7.59
Space-group type: No. 122
Density, g/cm3: 9.9
Total magnetic moment, μB per cell: 0.00

Cell: 6.970 6.970 5.623 Å, 51.70 51.70 90.00°
Positions (direct):
V1 0.113 0.625 0.250
Ag1 0.500 0.500 0.000
V2 0.875 0.887 0.750
W1 0.000 0.000 0.000
Ag2 0.250 0.750 0.500
W2 0.750 0.250 0.500
V3 0.375 0.363 0.750
V4 0.637 0.125 0.250

=====

Entry from Alexandria: crystalline VAg2W at its relaxed geometry (GGA-PBE).

Output
DOS at the Fermi energy, states/eV/f.u.: 4.4
Energy of formation, kJ/mol of atoms: 89.5
Electronic total energy, eV/atom: -6.02
Space-group type: No. 225
Density, g/cm3: 11.2
Total magnetic moment, μB per cell: 1.66

Cell: 4.549 4.549 4.549 Å, 60.00 60.00 60.00°
Positions (direct):
Ag1 0.750 0.750 0.750
W1 0.500 0.500 0.500
V1 0.000 0.000 0.000
Ag2 0.250 0.250 0.250

=====

Entry from Alexandria: crystalline Y2VAg at its relaxed geometry (GGA-PBE).

Output
DOS at the Fermi energy, states/eV/f.u.: 5.7
Energy of formation, kJ/mol of atoms: 66.2
Electronic total energy, eV/atom: -5.54
Space-group type: No. 122
Density, g/cm3: 5.4
Total magnetic moment, μB per cell: 6.81

Cell: 4.465 4.465 10.838 Å, 78.11 78.11 90.00°
Positions (direct):
Y1 0.122 0.625 0.250
Ag1 0.000 0.000 0.000
V1 0.250 0.750 0.500
Y2 0.375 0.372 0.750
Y3 0.875 0.878 0.750
Ag2 0.750 0.250 0.500
Y4 0.628 0.125 0.250
V2 0.500 0.500 0.000

=====

Entry from Alexandria: crystalline Y3VAg at its relaxed geometry (GGA-PBE).

Output
DOS at the Fermi energy, states/eV/f.u.: 7.1
Energy of formation, kJ/mol of atoms: 48.0
Electronic total energy, eV/atom: -5.77
Space-group type: No. 221
Density, g/cm3: 4.9
Total magnetic moment, μB per cell: 0.01

Cell: 5.240 5.240 5.240 Å, 90.00 90.00 90.00°
Positions (direct):
V1 0.000 0.000 0.000
Y1 0.500 0.000 0.000
Y2 0.000 0.000 0.500
Ag1 0.500 0.500 0.500
Y3 0.000 0.500 0.000

=====

Entry from Alexandria: crystalline Y2VAg at its relaxed geometry (GGA-PBE).

Output
DOS at the Fermi energy, states/eV/f.u.: 3.6
Energy of formation, kJ/mol of atoms: 8.3
Electronic total energy, eV/atom: -6.14
Space-group type: No. 225
Density, g/cm3: 5.8
Total magnetic moment, μB per cell: 3.71

Cell: 5.132 5.132 5.132 Å, 60.00 60.00 60.00°
Positions (direct):
Y1 0.750 0.750 0.750
V1 0.000 0.000 0.000
Y2 0.250 0.250 0.250
Ag1 0.500 0.500 0.500

=====

Entry from Alexandria: crystalline Y2V2Ag at its relaxed geometry (GGA-PBE).

Output
DOS at the Fermi energy, states/eV/f.u.: 7.7
Energy of formation, kJ/mol of atoms: 29.4
Electronic total energy, eV/atom: -6.50
Space-group type: No. 127
Density, g/cm3: 5.7
Total magnetic moment, μB per cell: 0.00

Cell: 7.845 7.845 3.664 Å, 90.00 90.00 90.00°
Positions (direct):
Ag1 0.000 0.000 0.000
Y1 0.799 0.299 0.500
V1 0.586 0.086 0.000
V2 0.086 0.414 0.000
Y2 0.299 0.201 0.500
V3 0.914 0.586 0.000
V4 0.414 0.914 0.000
Y3 0.201 0.701 0.500
Y4 0.701 0.799 0.500
Ag2 0.500 0.500 0.000

=====

Entry from Alexandria: crystalline Y2VAg at its relaxed geometry (GGA-PBE).

Output
DOS at the Fermi energy, states/eV/f.u.: 2.8
Energy of formation, kJ/mol of atoms: 2.8
Electronic total energy, eV/atom: -6.20
Space-group type: No. 123
Density, g/cm3: 5.9
Total magnetic moment, μB per cell: 3.02

Cell: 3.639 3.639 7.157 Å, 90.00 90.00 90.00°
Positions (direct):
V1 0.500 0.500 0.000
Ag1 0.500 0.500 0.500
Y1 0.000 0.000 0.241
Y2 0.000 0.000 0.759

=====

Entry from Alexandria: crystalline YV2Ag at its relaxed geometry (GGA-PBE).

Output
DOS at the Fermi energy, states/eV/f.u.: 6.6
Energy of formation, kJ/mol of atoms: 68.1
Electronic total energy, eV/atom: -6.18
Space-group type: No. 225
Density, g/cm3: 6.9
Total magnetic moment, μB per cell: 1.04

Cell: 4.665 4.665 4.665 Å, 60.00 60.00 60.00°
Positions (direct):
Ag1 0.500 0.500 0.500
Y1 0.000 0.000 0.000
V1 0.750 0.750 0.750
V2 0.250 0.250 0.250

=====

Entry from Alexandria: crystalline YV2Ag at its relaxed geometry (GGA-PBE).

Output
DOS at the Fermi energy, states/eV/f.u.: 4.5
Energy of formation, kJ/mol of atoms: 66.3
Electronic total energy, eV/atom: -6.20
Space-group type: No. 122
Density, g/cm3: 5.6
Total magnetic moment, μB per cell: 0.00

Cell: 4.186 4.186 10.483 Å, 78.48 78.48 90.00°
Positions (direct):
V1 0.889 0.625 0.250
Y1 0.250 0.750 0.500
V2 0.875 0.111 0.750
V3 0.375 0.139 0.750
Ag1 0.000 0.000 0.000
V4 0.861 0.125 0.250
Ag2 0.750 0.250 0.500
Y2 0.500 0.500 0.000

=====

Entry from Alexandria: crystalline VZnAg3 at its relaxed geometry (GGA-PBE).

Output
DOS at the Fermi energy, states/eV/f.u.: 5.9
Energy of formation, kJ/mol of atoms: 79.5
Electronic total energy, eV/atom: -2.96
Space-group type: No. 221
Density, g/cm3: 6.7
Total magnetic moment, μB per cell: 3.63

Cell: 4.772 4.772 4.772 Å, 90.00 90.00 90.00°
Positions (direct):
Ag1 0.000 0.000 0.500
Zn1 0.000 0.000 0.000
V1 0.500 0.500 0.500
Ag2 0.500 0.000 0.000
Ag3 0.000 0.500 0.000

=====

Entry from Alexandria: crystalline V3ZnAg at its relaxed geometry (GGA-PBE).

Output
DOS at the Fermi energy, states/eV/f.u.: 13.0
Energy of formation, kJ/mol of atoms: 163.2
Electronic total energy, eV/atom: -4.60
Space-group type: No. 221
Density, g/cm3: 4.6
Total magnetic moment, μB per cell: 9.52

Cell: 4.916 4.916 4.916 Å, 90.00 90.00 90.00°
Positions (direct):
Zn1 0.500 0.500 0.500
V1 0.000 0.000 0.500
V2 0.500 0.000 0.000
Ag1 0.000 0.000 0.000
V3 0.000 0.500 0.000

=====

Entry from Alexandria: crystalline VZn2Ag2 at its relaxed geometry (GGA-PBE).

Output
DOS at the Fermi energy, states/eV/f.u.: 2.5
Energy of formation, kJ/mol of atoms: 22.5
Electronic total energy, eV/atom: -3.24
Space-group type: No. 127
Density, g/cm3: 7.9
Total magnetic moment, μB per cell: 6.53

Cell: 7.492 7.492 2.960 Å, 90.00 90.00 90.00°
Positions (direct):
Ag1 0.674 0.826 0.500
Zn1 0.625 0.125 0.000
Ag2 0.326 0.174 0.500
Zn2 0.875 0.625 0.000
Ag3 0.826 0.326 0.500
V1 0.500 0.500 0.000
V2 0.000 0.000 0.000
Zn3 0.375 0.875 0.000
Zn4 0.125 0.375 0.000
Ag4 0.174 0.674 0.500

=====

Entry from Alexandria: crystalline VZn3Ag at its relaxed geometry (GGA-PBE).

Output
DOS at the Fermi energy, states/eV/f.u.: 5.2
Energy of formation, kJ/mol of atoms: 79.9
Electronic total energy, eV/atom: -2.33
Space-group type: No. 221
Density, g/cm3: 5.4
Total magnetic moment, μB per cell: 3.66

Cell: 4.780 4.780 4.780 Å, 90.00 90.00 90.00°
Positions (direct):
Ag1 0.000 0.000 0.000
V1 0.500 0.500 0.500
Zn1 0.000 0.500 0.000
Zn2 0.000 0.000 0.500
Zn3 0.500 0.000 0.000

=====

Entry from Alexandria: crystalline VZnAg3 at its relaxed geometry (GGA-PBE).

Output
DOS at the Fermi energy, states/eV/f.u.: 6.4
Energy of formation, kJ/mol of atoms: 117.4
Electronic total energy, eV/atom: -2.57
Space-group type: No. 221
Density, g/cm3: 5.8
Total magnetic moment, μB per cell: 3.32

Cell: 5.017 5.017 5.017 Å, 90.00 90.00 90.00°
Positions (direct):
V1 0.000 0.000 0.000
Ag1 0.000 0.500 0.000
Zn1 0.500 0.500 0.500
Ag2 0.500 0.000 0.000
Ag3 0.000 0.000 0.500

=====

Entry from Alexandria: crystalline V2Zn4Ag at its relaxed geometry (GGA-PBE).

Output
DOS at the Fermi energy, states/eV/f.u.: 4.3
Energy of formation, kJ/mol of atoms: 65.6
Electronic total energy, eV/atom: -3.06
Space-group type: No. 139
Density, g/cm3: 5.1
Total magnetic moment, μB per cell: 0.00

Cell: 4.994 4.994 7.057 Å, 110.72 110.72 90.00°
Positions (direct):
V1 0.576 0.576 0.153
V2 0.424 0.424 0.847
Zn1 0.500 0.000 0.000
Ag1 0.000 0.000 0.000
Zn2 0.000 0.500 0.000
Zn3 0.210 0.210 0.421
Zn4 0.790 0.790 0.579

=====

Entry from Alexandria: crystalline VZn4Ag at its relaxed geometry (GGA-PBE).

Output
DOS at the Fermi energy, states/eV/f.u.: 4.1
Energy of formation, kJ/mol of atoms: 10.9
Electronic total energy, eV/atom: -2.73
Space-group type: No. 216
Density, g/cm3: 7.6
Total magnetic moment, μB per cell: 3.51

Cell: 5.073 5.073 5.073 Å, 60.00 60.00 60.00°
Positions (direct):
Ag1 0.000 0.000 0.000
Zn1 0.625 0.625 0.625
V1 0.250 0.250 0.250
Zn2 0.625 0.126 0.625
Zn3 0.126 0.625 0.625
Zn4 0.625 0.625 0.126